Entry 1:
A plane-wave DFT calculation with PBE was carried out for crystalline Er4Ga12Mo at its relaxed geometry.

Results
- energy relative to the elements (eV per atom) = -0.49

Cell and atoms, written as extended XYZ:
```
17
Lattice="-4.314 4.314 4.314 4.314 -4.314 4.314 4.314 4.314 -4.314" Properties=species:S:1:pos:R:3 pbc="T T T"
Er 2.157 2.157 -2.157
Er 2.157 -2.157 2.157
Er -2.157 2.157 2.157
Er 2.157 2.157 2.157
Ga 2.536 0.000 0.000
Ga 6.091 0.000 0.000
Ga 4.314 2.157 0.000
Ga 4.314 0.000 2.157
Ga 0.000 2.536 0.000
Ga 0.000 0.000 2.536
Ga 2.157 4.314 0.000
Ga 2.157 0.000 4.314
Ga 0.000 6.091 0.000
Ga 0.000 0.000 6.091
Ga 0.000 4.314 2.157
Ga 0.000 2.157 4.314
Mo 0.000 0.000 0.000
```

***

Entry 2:
A plane-wave DFT calculation with PBE was carried out for crystalline ErGa2Mo at its relaxed geometry.

Results
- energy relative to the elements (eV per atom) = 0.02

Cell and atoms, written as extended XYZ:
```
4
Lattice="1.528 0.882 9.346 -1.528 0.882 9.346 0.000 -1.764 9.346" Properties=species:S:1:pos:R:3 pbc="T T T"
Er 0.000 0.000 0.000
Ga 0.000 0.000 6.777
Ga 0.000 0.000 21.261
Mo 0.000 0.000 14.019
```

***

Entry 3:
A plane-wave DFT calculation with PBE was carried out for crystalline ErPaGaMo at its relaxed geometry.

Results
- energy relative to the elements (eV per atom) = -0.02

Cell and atoms, written as extended XYZ:
```
4
Lattice="0.000 3.510 3.510 3.510 0.000 3.510 3.510 3.510 0.000" Properties=species:S:1:pos:R:3 pbc="T T T"
Er 0.000 0.000 0.000
Pa 3.510 3.510 3.510
Ga 5.266 5.266 5.266
Mo 1.755 1.755 1.755
```